(1)
Density functional theory data (GGA-PBE) for an optimized crystal structure of AcNd7Sm12.

Geometry as CIF:
```
data_AcNd7Sm12
_chemical_formula_sum 'Ac3 Nd21 Sm36'
_space_group_name_H-M_alt 'R -3'
_space_group_IT_number 148
_space_group_name_Hall '-R 3'
_cell_length_a 12.3589
_cell_length_b 12.3589
_cell_length_c 16.1199
_cell_angle_alpha 90.00
_cell_angle_beta 90.00
_cell_angle_gamma 120.00
loop_
_atom_site_label
_atom_site_fract_x
_atom_site_fract_y
_atom_site_fract_z
Ac1 0.0000 0.0000 0.0000
Nd1 0.0000 0.0000 0.5000
Nd2 0.0507 0.8618 0.7944
Sm1 0.0116 0.5721 0.7193
Sm2 0.0508 0.4601 0.0833
```

Calculated values
* energy of formation from the pure elements: 0.214 eV per atom
* ΔE to the lowest computed polymorph: 0.0 meV per atom

(2)
Density functional theory data (GGA-PBE) for an optimized crystal structure of EuErBi2.

Geometry as CIF:
```
data_EuErBi2
_chemical_formula_sum 'Eu1 Er1 Bi2'
_space_group_name_H-M_alt 'P 4/m m m'
_space_group_IT_number 123
_space_group_name_Hall '-P 4 2'
_cell_length_a 5.918
_cell_length_b 5.918
_cell_length_c 3.485
_cell_angle_alpha 90.00
_cell_angle_beta 90.00
_cell_angle_gamma 90.00
loop_
_atom_site_label
_atom_site_fract_x
_atom_site_fract_y
_atom_site_fract_z
Eu1 0.000 0.000 0.000
Er1 0.500 0.500 0.000
Bi1 0.000 0.500 0.500
```

Calculated values
* energy of formation from the pure elements: -0.651 eV per atom
* ΔE to the lowest computed polymorph: 122.1 meV per atom

(3)
Density functional theory data (GGA-PBE) for an optimized crystal structure of NpGePdAu.

Geometry as CIF:
```
data_NpGePdAu
_chemical_formula_sum 'Np4 Ge4 Pd4 Au4'
_space_group_name_H-M_alt 'F -4 3 m'
_space_group_IT_number 216
_space_group_name_Hall 'F -4 2 3'
_cell_length_a 6.772
_cell_length_b 6.772
_cell_length_c 6.772
_cell_angle_alpha 90.00
_cell_angle_beta 90.00
_cell_angle_gamma 90.00
loop_
_atom_site_label
_atom_site_fract_x
_atom_site_fract_y
_atom_site_fract_z
Np1 0.000 0.000 0.000
Ge1 0.250 0.250 0.250
Pd1 0.250 0.250 0.750
Au1 0.000 0.000 0.500
```

Calculated values
* energy of formation from the pure elements: -0.134 eV per atom

(4)
Density functional theory data (GGA-PBE) for an optimized crystal structure of NdErTeS.

Geometry as CIF:
```
data_NdErTeS
_chemical_formula_sum 'Nd3 Er3 Te3 S3'
_space_group_name_H-M_alt 'R 3 m'
_space_group_IT_number 160
_space_group_name_Hall 'R 3 -2"'
_cell_length_a 4.0064
_cell_length_b 4.0064
_cell_length_c 22.8128
_cell_angle_alpha 90.00
_cell_angle_beta 90.00
_cell_angle_gamma 120.00
loop_
_atom_site_label
_atom_site_fract_x
_atom_site_fract_y
_atom_site_fract_z
Nd1 0.0000 0.0000 0.0000
Er1 0.0000 0.0000 0.1544
Te1 0.0000 0.0000 0.5722
S1 0.0000 0.0000 0.7507
```

Calculated values
* ΔE_f (raw): -1.542 eV/atom

(5)
Density functional theory data (GGA-PBE) for an optimized crystal structure of Ta3TiCl.

Geometry as CIF:
```
data_Ta3TiCl
_chemical_formula_sum 'Ta3 Ti1 Cl1'
_space_group_name_H-M_alt 'P m -3 m'
_space_group_IT_number 221
_space_group_name_Hall '-P 4 2 3'
_cell_length_a 4.801
_cell_length_b 4.801
_cell_length_c 4.801
_cell_angle_alpha 90.00
_cell_angle_beta 90.00
_cell_angle_gamma 90.00
loop_
_atom_site_label
_atom_site_fract_x
_atom_site_fract_y
_atom_site_fract_z
Ta1 0.000 0.000 0.500
Ti1 0.000 0.000 0.000
Cl1 0.500 0.500 0.500
```

Calculated values
* ΔE_f (raw): 1.681 eV/atom
* ΔE to the lowest computed polymorph: 917.2 meV per atom

(6)
Density functional theory data (GGA-PBE) for an optimized crystal structure of Mn7CoC2.

Geometry as CIF:
```
data_Mn7CoC2
_chemical_formula_sum 'Mn14 Co2 C4'
_space_group_name_H-M_alt 'C m m m'
_space_group_IT_number 65
_space_group_name_Hall '-C 2 2'
_cell_length_a 6.336
_cell_length_b 9.839
_cell_length_c 3.728
_cell_angle_alpha 90.00
_cell_angle_beta 90.00
_cell_angle_gamma 90.00
loop_
_atom_site_label
_atom_site_fract_x
_atom_site_fract_y
_atom_site_fract_z
Mn1 0.000 0.000 0.000
Mn2 0.000 0.240 0.500
Mn3 0.191 0.371 0.000
Co1 0.000 0.500 0.500
C1 0.000 0.199 0.000
```

Calculated values
* energy of formation from the pure elements: 0.295 eV per atom

Summary of energy in eV/atom
-4.49; -6.30; -6.64; -5.69; -7.38; -8.68
(order as listed above)